[1]
The following is a PBE-GGA calculation of a relaxed structure of Li5Ge3Ir, from the Alexandria database.

The structure in CIF format:
```
data_Li5Ge3Ir
_space_group_name_H-M_alt 'P 1'
_space_group_IT_number 1
_space_group_name_Hall 'P 1'
_cell_length_a 8.2465
_cell_length_b 8.2465
_cell_length_c 6.5952
_cell_angle_alpha 66.08
_cell_angle_beta 66.08
_cell_angle_gamma 71.30
loop_
_atom_site_label
_atom_site_type_symbol
_atom_site_fract_x
_atom_site_fract_y
_atom_site_fract_z
_atom_site_occupancy
Li1 Li 0.4231 0.9593 0.3676 1
Li2 Li 0.0407 0.5769 0.6324 1
Li3 Li 0.5769 0.0407 0.6324 1
Li4 Li 0.9593 0.4231 0.3676 1
Li5 Li 0.7219 0.2781 0.0000 1
Ge1 Ge 0.3342 0.3342 0.1972 1
Li6 Li 0.5444 0.5444 0.2420 1
Ge2 Ge 0.6658 0.6658 0.8028 1
Ge3 Ge 0.0000 0.0000 0.5000 1
Ge4 Ge 0.0000 0.0000 0.0000 1
Li7 Li 0.2023 0.2023 0.0037 1
Ir1 Ir 0.8596 0.8596 0.3899 1
Ge5 Ge 0.3367 0.3367 0.5631 1
Li8 Li 0.4556 0.4556 0.7580 1
Li9 Li 0.7977 0.7977 0.9963 1
Ge6 Ge 0.6633 0.6633 0.4369 1
Li10 Li 0.2781 0.7219 0.0000 1
Ir2 Ir 0.1404 0.1404 0.6101 1
```

Summary:
As for the space-group type: C2/m. The calculation puts the raw total energy at -3.77 eV/atom.

[2]
The following is a PBE-GGA calculation of a relaxed structure of K4Dy3TiTe8, from the Alexandria database.

The structure in CIF format:
```
data_K4Dy3TiTe8
_space_group_name_H-M_alt 'P 1'
_space_group_IT_number 1
_space_group_name_Hall 'P 1'
_cell_length_a 8.8351
_cell_length_b 9.6872
_cell_length_c 8.8350
_cell_angle_alpha 117.15
_cell_angle_beta 120.00
_cell_angle_gamma 90.00
loop_
_atom_site_label
_atom_site_type_symbol
_atom_site_fract_x
_atom_site_fract_y
_atom_site_fract_z
_atom_site_occupancy
Dy1 Dy 0.5000 0.5000 0.5000 1
K1 K 0.5000 0.0000 0.0000 1
Te1 Te 0.2253 0.7013 0.9761 1
Te2 Te 0.2630 0.2889 0.5259 1
Te3 Te 0.7508 0.7013 0.9761 1
Dy2 Dy 0.0000 0.5000 0.5000 1
Dy3 Dy 0.5000 0.5000 0.0000 1
Te4 Te 0.2492 0.2987 0.0239 1
K2 K 0.0000 0.0000 0.5000 1
K3 K 0.5000 0.0000 0.5000 1
Te5 Te 0.7747 0.2986 0.5494 1
K4 K 0.0000 0.0000 0.0000 1
Te6 Te 0.7747 0.2987 0.0239 1
Te7 Te 0.7370 0.7111 0.4741 1
Ti1 Ti 0.0000 0.5000 0.0000 1
Te8 Te 0.2253 0.7014 0.4506 1
```

Summary:
As for the space-group type: R-3m. The formation energy (no corrections) comes out at -1.2311 eV/atom.

[3]
The following is a PBE-GGA calculation of a relaxed structure of Be3CrI, from the Alexandria database.

The structure in CIF format:
```
data_Be3CrI
_space_group_name_H-M_alt 'P 1'
_space_group_IT_number 1
_space_group_name_Hall 'P 1'
_cell_length_a 4.5770
_cell_length_b 4.5770
_cell_length_c 4.5770
_cell_angle_alpha 90.00
_cell_angle_beta 90.00
_cell_angle_gamma 90.00
loop_
_atom_site_label
_atom_site_type_symbol
_atom_site_fract_x
_atom_site_fract_y
_atom_site_fract_z
_atom_site_occupancy
Be1 Be 0.0000 0.5000 0.0000 1
I1 I 0.0000 0.0000 0.0000 1
Be2 Be 0.0000 0.0000 0.5000 1
Be3 Be 0.5000 0.0000 0.0000 1
Cr1 Cr 0.5000 0.5000 0.5000 1
```

Summary:
As for the space-group type: Pm-3m. The formation energy (no corrections) comes out at 2.3464 eV/atom.

[4]
The following is a PBE-GGA calculation of a relaxed structure of CaReOs, from the Alexandria database.

The structure in CIF format:
```
data_CaReOs
_space_group_name_H-M_alt 'P 1'
_space_group_IT_number 1
_space_group_name_Hall 'P 1'
_cell_length_a 6.5837
_cell_length_b 6.5837
_cell_length_c 6.5837
_cell_angle_alpha 153.13
_cell_angle_beta 153.13
_cell_angle_gamma 38.36
loop_
_atom_site_label
_atom_site_type_symbol
_atom_site_fract_x
_atom_site_fract_y
_atom_site_fract_z
_atom_site_occupancy
Re1 Re 0.3022 0.3022 0.0000 1
Os1 Os 0.6955 0.6955 0.0000 1
Ca1 Ca 0.0024 0.0024 0.0000 1
```

Summary:
As for the space-group type: I4mm. The calculation puts the raw total energy at -8.18 eV/atom.

[5]
The following is a PBE-GGA calculation of a relaxed structure of LiCe2Ga3, from the Alexandria database.

The structure in CIF format:
```
data_LiCe2Ga3
_space_group_name_H-M_alt 'P 1'
_space_group_IT_number 1
_space_group_name_Hall 'P 1'
_cell_length_a 5.7199
_cell_length_b 5.7199
_cell_length_c 8.6618
_cell_angle_alpha 90.00
_cell_angle_beta 90.00
_cell_angle_gamma 120.00
loop_
_atom_site_label
_atom_site_type_symbol
_atom_site_fract_x
_atom_site_fract_y
_atom_site_fract_z
_atom_site_occupancy
Ce1 Ce 0.6667 0.3333 0.0878 1
Ga1 Ga 0.8288 0.6577 0.7500 1
Ga2 Ga 0.8288 0.1712 0.7500 1
Ga3 Ga 0.6577 0.8288 0.2500 1
Li1 Li 0.0000 0.0000 0.0000 1
Ce2 Ce 0.3333 0.6667 0.5878 1
Ce3 Ce 0.6667 0.3333 0.4122 1
Li2 Li 0.0000 0.0000 0.5000 1
Ce4 Ce 0.3333 0.6667 0.9122 1
Ga4 Ga 0.1712 0.8288 0.2500 1
Ga5 Ga 0.1712 0.3423 0.2500 1
Ga6 Ga 0.3423 0.1712 0.7500 1
```

Summary:
As for the space-group type: P6_3/mmc. The calculation puts the raw total energy at -4.29 eV/atom.

[6]
The following is a PBE-GGA calculation of a relaxed structure of NaZrBr2, from the Alexandria database.

The structure in CIF format:
```
data_NaZrBr2
_space_group_name_H-M_alt 'P 1'
_space_group_IT_number 1
_space_group_name_Hall 'P 1'
_cell_length_a 10.7766
_cell_length_b 10.7766
_cell_length_c 10.7766
_cell_angle_alpha 18.78
_cell_angle_beta 18.78
_cell_angle_gamma 18.78
loop_
_atom_site_label
_atom_site_type_symbol
_atom_site_fract_x
_atom_site_fract_y
_atom_site_fract_z
_atom_site_occupancy
Br1 Br 0.8942 0.8942 0.8942 1
Na1 Na 0.0000 0.0000 0.0000 1
Br2 Br 0.1058 0.1058 0.1058 1
Zr1 Zr 0.5000 0.5000 0.5000 1
```

Summary:
As for the space-group type: R-3m. The formation energy (no corrections) comes out at -0.8423 eV/atom.

[7]
The following is a PBE-GGA calculation of a relaxed structure of CaPu2Tl3Te6, from the Alexandria database.

The structure in CIF format:
```
data_CaPu2Tl3Te6
_space_group_name_H-M_alt 'P 1'
_space_group_IT_number 1
_space_group_name_Hall 'P 1'
_cell_length_a 7.8075
_cell_length_b 7.8075
_cell_length_c 8.5127
_cell_angle_alpha 98.77
_cell_angle_beta 98.77
_cell_angle_gamma 119.93
loop_
_atom_site_label
_atom_site_type_symbol
_atom_site_fract_x
_atom_site_fract_y
_atom_site_fract_z
_atom_site_occupancy
Ca1 Ca 0.0000 0.0000 0.0000 1
Te1 Te 0.2744 0.2744 0.7882 1
Te2 Te 0.5827 0.9276 0.7837 1
Tl1 Tl 0.8363 0.1637 0.5000 1
Te3 Te 0.4173 0.0724 0.2163 1
Pu1 Pu 0.6673 0.3327 0.0000 1
Te4 Te 0.0724 0.4173 0.2163 1
Pu2 Pu 0.3327 0.6673 0.0000 1
Te5 Te 0.9276 0.5827 0.7837 1
Te6 Te 0.7256 0.7256 0.2118 1
Tl2 Tl 0.1637 0.8363 0.5000 1
Tl3 Tl 0.5000 0.5000 0.5000 1
```

Summary:
As for the space-group type: C2/m. The formation energy (no corrections) comes out at -0.8366 eV/atom.

[8]
The following is a PBE-GGA calculation of a relaxed structure of BiPd3, from the Alexandria database.

The structure in CIF format:
```
data_BiPd3
_space_group_name_H-M_alt 'P 1'
_space_group_IT_number 1
_space_group_name_Hall 'P 1'
_cell_length_a 4.1763
_cell_length_b 4.1763
_cell_length_c 5.0438
_cell_angle_alpha 114.46
_cell_angle_beta 114.46
_cell_angle_gamma 90.00
loop_
_atom_site_label
_atom_site_type_symbol
_atom_site_fract_x
_atom_site_fract_y
_atom_site_fract_z
_atom_site_occupancy
Bi1 Bi 0.0000 0.0000 0.0000 1
Pd1 Pd 0.2500 0.7500 0.5000 1
Pd2 Pd 0.5000 0.5000 0.0000 1
Pd3 Pd 0.7500 0.2500 0.5000 1
```

Summary:
As for the space-group type: I4/mmm. The calculation puts the raw total energy at -5.10 eV/atom.

[9]
The following is a PBE-GGA calculation of a relaxed structure of K3PmNp3Se8, from the Alexandria database.

The structure in CIF format:
```
data_K3PmNp3Se8
_space_group_name_H-M_alt 'P 1'
_space_group_IT_number 1
_space_group_name_Hall 'P 1'
_cell_length_a 8.4712
_cell_length_b 8.4710
_cell_length_c 9.1573
_cell_angle_alpha 117.56
_cell_angle_beta 90.00
_cell_angle_gamma 120.00
loop_
_atom_site_label
_atom_site_type_symbol
_atom_site_fract_x
_atom_site_fract_y
_atom_site_fract_z
_atom_site_occupancy
K1 K 0.0000 0.5000 0.0000 1
Se1 Se 0.2657 0.5313 0.2971 1
K2 K 0.0000 0.0000 0.0000 1
Se2 Se 0.7619 0.5237 0.2968 1
Se3 Se 0.7619 0.0348 0.2968 1
Np1 Np 0.5000 0.5000 0.5000 1
Se4 Se 0.2381 0.9652 0.7032 1
Np2 Np 0.0000 0.5000 0.5000 1
Se5 Se 0.7343 0.4687 0.7029 1
Se6 Se 0.2381 0.4763 0.7032 1
Se7 Se 0.2729 0.0348 0.2968 1
Se8 Se 0.7271 0.9652 0.7032 1
Pm1 Pm 0.0000 0.0000 0.5000 1
K3 K 0.5000 0.5000 0.0000 1
Np3 Np 0.5000 0.0000 0.5000 1
```

Summary:
As for the space-group type: R-3m. The formation energy (no corrections) comes out at -1.3673 eV/atom.

[10]
The following is a PBE-GGA calculation of a relaxed structure of NaBr2F, from the Alexandria database.

The structure in CIF format:
```
data_NaBr2F
_space_group_name_H-M_alt 'P 1'
_space_group_IT_number 1
_space_group_name_Hall 'P 1'
_cell_length_a 5.7405
_cell_length_b 5.7405
_cell_length_c 5.7405
_cell_angle_alpha 50.91
_cell_angle_beta 50.91
_cell_angle_gamma 50.91
loop_
_atom_site_label
_atom_site_type_symbol
_atom_site_fract_x
_atom_site_fract_y
_atom_site_fract_z
_atom_site_occupancy
Br1 Br 0.8193 0.8193 0.8193 1
F1 F 0.5000 0.5000 0.5000 1
Na1 Na 0.0000 0.0000 0.0000 1
Br2 Br 0.1807 0.1807 0.1807 1
```

Summary:
As for the space-group type: R-3m. The formation energy (no corrections) comes out at -0.6028 eV/atom.